(1)
! Pr3ErGe6 PBE optimized geometry; values from VASP
! Calculated volume   477 Å³ per cell
! Symmetry   R-3c (167)
! Total moment   0.00 Bohr magnetons per cell
! Energy of formation from the pure elements   -0.6862 eV/atom
! D(E_F)   12.3 states/eV per cell
&SYSTEM
  ibrav = 0, nat = 20, ntyp = 3
/
ATOMIC_SPECIES
Pr 140.91 Pr.upf
Er 167.26 Er.upf
Ge 72.64 Ge.upf
ATOMIC_POSITIONS crystal
Pr 0.183 0.750 0.317
Pr 0.250 0.683 0.817
Pr 0.317 0.183 0.750
Pr 0.683 0.817 0.250
Pr 0.750 0.317 0.183
Pr 0.817 0.250 0.683
Er 0.000 0.000 0.000
Er 0.500 0.500 0.500
Ge 0.014 0.089 0.376
Ge 0.089 0.376 0.014
Ge 0.124 0.411 0.486
Ge 0.376 0.014 0.089
Ge 0.411 0.486 0.124
Ge 0.486 0.124 0.411
Ge 0.514 0.876 0.589
Ge 0.589 0.514 0.876
Ge 0.624 0.986 0.911
Ge 0.876 0.589 0.514
Ge 0.911 0.624 0.986
Ge 0.986 0.911 0.624
CELL_PARAMETERS angstrom
5.970 3.447 3.865
-5.970 3.447 3.865
0.000 -6.894 3.865



(2)
! Pr2Er3Ge4 PBE optimized geometry; values from VASP
! Calculated volume   447 Å³ per cell
! Symmetry   P2_1/c (14)
! Total moment   0.00 Bohr magnetons per cell
! Energy of formation from the pure elements   -0.8755 eV/atom
! D(E_F)   12.7 states/eV per cell
&SYSTEM
  ibrav = 0, nat = 18, ntyp = 3
/
ATOMIC_SPECIES
Pr 140.91 Pr.upf
Er 167.26 Er.upf
Ge 72.64 Ge.upf
ATOMIC_POSITIONS crystal
Pr 0.194 0.179 0.069
Pr 0.194 0.321 0.569
Pr 0.806 0.679 0.431
Pr 0.806 0.821 0.931
Er 0.246 0.667 0.244
Er 0.246 0.833 0.744
Er 0.500 0.000 0.500
Er 0.500 0.500 0.000
Er 0.754 0.167 0.256
Er 0.754 0.333 0.756
Ge 0.084 0.541 0.848
Ge 0.084 0.959 0.348
Ge 0.493 0.131 0.866
Ge 0.493 0.369 0.366
Ge 0.507 0.631 0.634
Ge 0.507 0.869 0.134
Ge 0.916 0.041 0.652
Ge 0.916 0.459 0.152
CELL_PARAMETERS angstrom
7.897 0.000 0.000
0.000 7.896 0.000
-2.622 0.000 7.171



(3)
! Pr2ErGe2 PBE optimized geometry; values from VASP
! Calculated volume   266 Å³ per cell
! Symmetry   P4/mbm (127)
! Total moment   0.00 Bohr magnetons per cell
! Energy of formation from the pure elements   -0.7759 eV/atom
! D(E_F)   9.0 states/eV per cell
&SYSTEM
  ibrav = 0, nat = 10, ntyp = 3
/
ATOMIC_SPECIES
Pr 140.91 Pr.upf
Er 167.26 Er.upf
Ge 72.64 Ge.upf
ATOMIC_POSITIONS crystal
Pr 0.175 0.325 0.000
Pr 0.325 0.825 0.000
Pr 0.675 0.175 0.000
Pr 0.825 0.675 0.000
Er 0.000 0.000 0.500
Er 0.500 0.500 0.500
Ge 0.122 0.622 0.500
Ge 0.378 0.122 0.500
Ge 0.622 0.878 0.500
Ge 0.878 0.378 0.500
CELL_PARAMETERS angstrom
7.712 0.000 0.000
0.000 7.712 0.000
0.000 0.000 4.465



(4)
! PrErGe PBE optimized geometry; values from VASP
! Calculated volume   85 Å³ per cell
! E above lowest polymorph   79 meV/atom
! Symmetry   P3m1 (156)
! Total moment   0.00 Bohr magnetons per cell
! Energy of formation from the pure elements   -0.4303 eV/atom
! D(E_F)   1.4 states/eV per cell
&SYSTEM
  ibrav = 0, nat = 3, ntyp = 3
/
ATOMIC_SPECIES
Pr 140.91 Pr.upf
Er 167.26 Er.upf
Ge 72.64 Ge.upf
ATOMIC_POSITIONS crystal
Pr 0.000 0.000 0.000
Er 0.333 0.667 0.481
Ge 0.667 0.333 0.591
CELL_PARAMETERS angstrom
4.775 0.000 0.000
-2.387 4.135 0.000
0.000 0.000 4.294



(5)
! PrErGe PBE optimized geometry; values from VASP
! Calculated volume   185 Å³ per cell
! E above lowest polymorph   134 meV/atom
! Symmetry   P-6m2 (187)
! Total moment   1.59 Bohr magnetons per cell
! Energy of formation from the pure elements   -0.3754 eV/atom
! D(E_F)   4.3 states/eV per cell
&SYSTEM
  ibrav = 0, nat = 6, ntyp = 3
/
ATOMIC_SPECIES
Pr 140.91 Pr.upf
Er 167.26 Er.upf
Ge 72.64 Ge.upf
ATOMIC_POSITIONS crystal
Pr 0.000 0.000 0.229
Pr 0.000 0.000 0.771
Er 0.333 0.667 0.000
Er 0.667 0.333 0.500
Ge 0.333 0.667 0.365
Ge 0.333 0.667 0.635
CELL_PARAMETERS angstrom
4.311 0.000 0.000
-2.155 3.733 0.000
0.000 0.000 11.519



(6)
! PrErGe PBE optimized geometry; values from VASP
! Calculated volume   87 Å³ per cell
! E above lowest polymorph   0 meV/atom
! Symmetry   F-43m (216)
! Total moment   0.00 Bohr magnetons per cell
! Energy of formation from the pure elements   -0.5097 eV/atom
! D(E_F)   2.5 states/eV per cell
&SYSTEM
  ibrav = 0, nat = 3, ntyp = 3
/
ATOMIC_SPECIES
Pr 140.91 Pr.upf
Er 167.26 Er.upf
Ge 72.64 Ge.upf
ATOMIC_POSITIONS crystal
Pr 0.000 0.000 0.000
Er 0.500 0.500 0.500
Ge 0.750 0.750 0.750
CELL_PARAMETERS angstrom
0.000 3.519 3.519
3.519 0.000 3.519
3.519 3.519 0.000